Here is a geometry-optimized Sr2SbAs structure from Alexandria via LeMat-Bulk. Energies are from GGA-PBEsol.

**Formation energy without anion corrections**: -75 kJ/mol of atoms
**Space group**: R-3m, No. 166

abc: 4.152 4.152 9.057
angles: 76.75 76.75 60.00
Atoms (fractional coordinates):
Sb 0.000 0.000 0.000
As 0.500 0.500 0.500
Sr 0.239 0.239 0.282
Sr 0.761 0.761 0.718

=====

Here is a geometry-optimized TaSbAs2 structure from Alexandria via LeMat-Bulk. Energies are from GGA-PBEsol.

**Formation energy without anion corrections**: -7 kJ/mol of atoms
**Space group**: R-3m, No. 166

abc: 3.251 3.251 9.057
angles: 79.66 79.66 60.00
Atoms (fractional coordinates):
Sb 0.500 0.500 0.500
As 0.265 0.265 0.205
As 0.735 0.735 0.795
Ta 0.000 0.000 0.000

=====

Here is a geometry-optimized TaSbAs2 structure from Alexandria via LeMat-Bulk. Energies are from GGA-PBEsol.

**Formation energy without anion corrections**: 21 kJ/mol of atoms
**Space group**: Cmm2, No. 35

abc: 2.965 2.965 9.553
angles: 90.00 90.00 104.29
Atoms (fractional coordinates):
Sb 0.000 0.000 0.472
As 0.000 0.000 0.037
As 0.500 0.500 0.756
Ta 0.500 0.500 0.235

=====

Here is a geometry-optimized Ta2SbAs2 structure from Alexandria via LeMat-Bulk. Energies are from GGA-PBEsol.

**Formation energy without anion corrections**: -5 kJ/mol of atoms
**Space group**: I4/mmm, No. 139

abc: 4.707 4.707 5.511
angles: 115.28 115.28 90.00
Atoms (fractional coordinates):
Sb 0.000 0.000 0.000
As 0.364 0.364 0.727
As 0.636 0.636 0.273
Ta 0.250 0.750 0.500
Ta 0.750 0.250 0.500

=====

Here is a geometry-optimized TaSbAs structure from Alexandria via LeMat-Bulk. Energies are from GGA-PBEsol.

**Formation energy without anion corrections**: 33 kJ/mol of atoms
**Space group**: F-43m, No. 216

abc: 4.587 4.587 4.587
angles: 60.00 60.00 60.00
Atoms (fractional coordinates):
Sb 0.500 0.500 0.500
As 0.000 0.000 0.000
Ta 0.250 0.250 0.250

=====

Here is a geometry-optimized ZrTa2SbAs structure from Alexandria via LeMat-Bulk. Energies are from GGA-PBEsol.

**Formation energy without anion corrections**: 154 kJ/mol of atoms
**Space group**: P4/mmm, No. 123

abc: 5.000 5.000 5.077
angles: 90.00 90.00 90.00
Atoms (fractional coordinates):
Sb 0.000 0.000 0.000
As 0.000 0.000 0.500
Zr 0.500 0.500 0.500
Ta 0.000 0.500 0.000
Ta 0.500 0.000 0.000

=====

Here is a geometry-optimized TcSbAs3 structure from Alexandria via LeMat-Bulk. Energies are from GGA-PBEsol.

**Formation energy without anion corrections**: 43 kJ/mol of atoms
**Space group**: Pm-3m, No. 221

abc: 4.771 4.771 4.771
angles: 90.00 90.00 90.00
Atoms (fractional coordinates):
Sb 0.500 0.500 0.500
As 0.000 0.500 0.000
As 0.000 0.000 0.500
As 0.500 0.000 0.000
Tc 0.000 0.000 0.000

=====

Here is a geometry-optimized SbTe3As structure from Alexandria via LeMat-Bulk. Energies are from GGA-PBEsol.

**Formation energy without anion corrections**: 47 kJ/mol of atoms
**Space group**: Pm-3m, No. 221

abc: 5.313 5.313 5.313
angles: 90.00 90.00 90.00
Atoms (fractional coordinates):
Sb 0.500 0.500 0.500
As 0.000 0.000 0.000
Te 0.000 0.500 0.000
Te 0.000 0.000 0.500
Te 0.500 0.000 0.000

=====

Number 3 is which compound? TaSbAs2

=====

The lowest formation energy without anion corrections belongs to which entry? Sr2SbAs

=====

Look up the formation energy without anion corrections of the second one. -7 kJ/mol of atoms